A plane-wave DFT calculation with SCAN was carried out for La2OsF at its PBEsol-relaxed geometry.

a = 6.8836 Å, b = 6.8836 Å, c = 6.8836 Å
α = 90.00°, β = 90.00°, γ = 90.00°
Space group Fm-3m (No. 225)
Symmetry-distinct sites (fractional):
La  0.2500  0.2500  0.2500 (multiplicity 8)
Os  0.0000  0.0000  0.0000 (multiplicity 4)
F  0.0000  0.0000  0.5000 (multiplicity 4)

ΔE_f (raw), eV per atom: -1.24
Final energy, eV per cell: -666.38